Entry 1:
Compound: Cu9Sn
Source: the Open Quantum Materials Database
Functional: PBE
Structure: optimized geometry

Theoretical density ... 6.89 g/cm³
E_tot ... -3.69 eV/atom
Energy relative to the lowest polymorph listed for this composition ... 0 meV/atom

a = 2.695 Å, b = 3.437 Å, c = 35.926 Å
α = 90.00°, β = 90.00°, γ = 90.00°
Atoms (fractional coordinates):
Cu: 0.250 0.250 0.018
Cu: 0.250 0.250 0.089
Cu: 0.250 0.250 0.160
Cu: 0.250 0.250 0.232
Cu: 0.250 0.250 0.304
Cu: 0.250 0.250 0.731
Cu: 0.250 0.250 0.804
Cu: 0.250 0.250 0.876
Cu: 0.250 0.250 0.947
Cu: 0.750 0.750 0.053
Cu: 0.750 0.750 0.124
Cu: 0.750 0.750 0.196
Cu: 0.750 0.750 0.269
Cu: 0.750 0.750 0.696
Cu: 0.750 0.750 0.768
Cu: 0.750 0.750 0.840
Cu: 0.750 0.750 0.911
Cu: 0.750 0.750 0.982
Sn: 0.250 0.250 0.645
Sn: 0.750 0.750 0.355

Entry 2:
Compound: GdDyY
Source: the Open Quantum Materials Database
Functional: PBE
Structure: optimized geometry

Theoretical density ... 5.92 g/cm³
E_form ... 218 kJ/mol of formula units
E_tot ... -4.49 eV/atom

a = 5.452 Å, b = 5.452 Å, c = 5.452 Å
α = 60.00°, β = 60.00°, γ = 60.00°
Atoms (fractional coordinates):
Gd: 0.000 0.000 0.000
Dy: 0.500 0.500 0.500
Y: 0.750 0.750 0.750

Entry 3:
Compound: Tb3ErC2S2
Source: the Open Quantum Materials Database
Functional: PBE
Structure: optimized geometry

Theoretical density ... 7.88 g/cm³
E_tot ... -6.89 eV/atom

a = 3.712 Å, b = 3.712 Å, c = 12.939 Å
α = 90.00°, β = 90.00°, γ = 120.00°
Atoms (fractional coordinates):
Tb: 0.000 0.000 0.000
Tb: 0.000 0.000 0.293
Tb: 0.667 0.333 0.503
Er: 0.667 0.333 0.793
C: 0.333 0.667 0.398
C: 0.333 0.667 0.895
S: 0.000 0.000 0.651
S: 0.667 0.333 0.147